1.
A geometry-optimized VNCl2 structure, computed with PBE.

Computed properties:
Its space group is R-3m, No. 166. The formation energy without anion corrections is 0.448 eV/atom.

abc: 9.640 9.640 9.640
angles: 21.81 21.81 21.81
Last column: magnetic moment on the atom in μB.
Fractional coordinates of all 4 atoms:
V 0.500 0.500 0.500  2.62
N 0.000 0.000 0.000  -1.93
Cl 0.120 0.120 0.120  -0.04
Cl 0.880 0.880 0.880  -0.04

2.
A geometry-optimized SmEuIn2 structure, computed with PBE.

Computed properties:
Its space group is P4/mmm, No. 123. The value obtained for the energy of formation from the pure elements is -0.48 eV per atom.

abc: 3.887 3.887 7.787
angles: 90.00 90.00 90.00
Last column: magnetic moment on the atom in μB.
Fractional coordinates of all 4 atoms:
In 0.000 0.000 0.239  -0.01
In 0.000 0.000 0.761  -0.01
Eu 0.500 0.500 0.500  6.87
Sm 0.500 0.500 0.000  0.01

3.
A geometry-optimized Tl6InHg12 structure, computed with PBE.

Computed properties:
Its space group is R-3, No. 148. The value obtained for the energy of formation from the pure elements is -0.01 eV per atom.

abc: 9.014 9.014 9.014
angles: 110.76 110.76 110.76
Fractional coordinates of all 19 atoms:
Hg 0.310 0.202 0.460
Hg 0.903 0.266 0.851
Hg 0.734 0.149 0.097
Hg 0.851 0.903 0.266
Hg 0.149 0.097 0.734
Hg 0.460 0.310 0.202
Hg 0.798 0.540 0.690
Hg 0.202 0.460 0.310
Hg 0.266 0.851 0.903
Hg 0.540 0.690 0.798
Hg 0.097 0.734 0.149
Hg 0.690 0.798 0.540
Tl 0.081 0.383 0.596
Tl 0.919 0.617 0.404
Tl 0.617 0.404 0.919
Tl 0.596 0.081 0.383
Tl 0.404 0.919 0.617
Tl 0.383 0.596 0.081
In 0.000 0.000 0.000

4.
A geometry-optimized AcScS2 structure, computed with PBE.

Computed properties:
Its space group is R-3m, No. 166. The formation energy without anion corrections is -1.886 eV/atom.

abc: 3.893 3.893 7.244
angles: 74.41 74.41 60.00
Fractional coordinates of all 4 atoms:
S 0.734 0.734 0.797
S 0.266 0.266 0.203
Sc 0.000 0.000 0.000
Ac 0.500 0.500 0.500

5.
A geometry-optimized US2ClO8 structure, computed with PBE.

Computed properties:
Its space group is P-3m1, No. 164. The formation energy without anion corrections is -1.649 eV/atom.

abc: 6.035 6.035 5.592
angles: 90.00 90.00 120.00
Last column: magnetic moment on the atom in μB.
Fractional coordinates of all 12 atoms:
O 0.799 0.598 0.142  -0.02
O 0.402 0.201 0.142  -0.02
O 0.201 0.402 0.858  -0.02
O 0.799 0.201 0.142  -0.02
O 0.667 0.333 0.502  -0.01
O 0.201 0.799 0.858  -0.02
O 0.598 0.799 0.858  -0.02
O 0.333 0.667 0.498  -0.01
Cl 0.000 0.000 0.500  -0.04
S 0.333 0.667 0.754  0.00
S 0.667 0.333 0.246  0.00
U 0.000 0.000 0.000  1.17

6.
A geometry-optimized FeReRh4 structure, computed with PBE.

Computed properties:
Its space group is C2/m, No. 12. The value obtained for the energy of formation from the pure elements is -0.06 eV per atom.

abc: 2.728 5.980 7.098
angles: 125.52 78.92 76.81
Last column: magnetic moment on the atom in μB.
Fractional coordinates of all 6 atoms:
Rh 0.834 0.505 0.828  -0.05
Rh 0.675 0.983 0.666  0.06
Rh 0.325 0.017 0.334  0.06
Rh 0.166 0.495 0.172  -0.05
Fe 0.500 0.500 0.500  2.48
Re 0.000 0.000 0.000  -0.16